P | Computed, not measured: crystalline AlPSe2 at its relaxed geometry at the PBE level of DFT.

Lattice parameters (Å, degrees): 3.643 4.312 6.657 68.42 90.00 90.00
Fractional coordinates of all 4 atoms:
Se 0.500 0.278 0.369
Se 0.000 0.963 0.894
P 0.500 0.790 0.667
Al 0.000 0.469 0.571

***

Q | Computed, not measured: crystalline AlPSe2 at its relaxed geometry at the PBE level of DFT.

Lattice parameters (Å, degrees): 8.443 8.443 8.443 24.95 24.95 24.95
Fractional coordinates of all 4 atoms:
Se 0.214 0.214 0.214
Se 0.035 0.035 0.035
Al 0.496 0.496 0.496
P 0.756 0.756 0.756

***

R | Computed, not measured: crystalline AlPSe2 at its relaxed geometry at the PBE level of DFT.

Lattice parameters (Å, degrees): 3.739 4.692 4.689 73.14 90.00 90.00
Fractional coordinates of all 4 atoms:
Se 0.000 0.496 0.496
Se 0.000 0.004 0.004
Al 0.500 0.250 0.250
P 0.500 0.750 0.750

***

S | Computed, not measured: crystalline AlPSe2 at its relaxed geometry at the PBE level of DFT.

Lattice parameters (Å, degrees): 3.297 3.297 6.629 90.00 90.00 90.00
Fractional coordinates of all 4 atoms:
P 0.500 0.500 0.750
Al 0.500 0.500 0.250
Se 0.000 0.000 0.494
Se 0.000 0.000 0.006

***

Tell me which of them is the least stable. Sure, it is S.